Density functional theory data (PBE-GGA) for a geometry-optimized Ba2DyOsN6 structure.

The structure belongs to space group C2/m (No. 12); the cell edges are 10.4148, 6.0277 and 6.0199 Å and the angles 90.00°, 125.24° and 90.00°. The asymmetric unit holds Ba at (0.2499, 0.0000, 0.2495), Dy at (0.0000, 0.0000, 0.5000), Os at (0.0000, 0.5000, 0.0000), N at (0.0009, 0.2715, 0.2299) and N at (0.2288, 0.5000, 0.2264).

The value obtained for the total DFT energy (no corrections) is -6.997 eV per atom. The value obtained for the size of the total moment is 1.9 μB/cell.